1.
Density functional theory data (PBE-GGA) for a geometry-optimized LiDyPu structure.

Unit cell a=3.6868 b=3.6868 c=40.3278 alpha=90.00 beta=90.00 gamma=120.00
Space group R-3m (No. 166, hexagonal axes)
Asymmetric unit:
Li 0.0000 0.0000 0.1931 (multiplicity 6)
Dy 0.0000 0.0000 0.0744 (multiplicity 6)
Pu 0.0000 0.0000 0.3453 (multiplicity 6)

V = 26.373 Å³ per atom
DOS at the Fermi energy = 5.04 states/eV/f.u.
ΔH_f (0 K) = 0.7 eV/f.u.
Distance to the lowest polymorph of the same formula = 0.0088 eV per atom
Crystal system = trigonal

***

2.
Density functional theory data (PBE-GGA) for a geometry-optimized KLi2TlAg structure.

Unit cell a=5.318 b=5.318 c=6.354 alpha=90.00 beta=90.00 gamma=90.00
Space group P4/mmm (No. 123)
Asymmetric unit:
K 0.000 0.000 0.000 (multiplicity 1)
Li 0.000 0.500 0.500 (multiplicity 2)
Tl 0.000 0.000 0.500 (multiplicity 1)
Ag 0.500 0.500 0.000 (multiplicity 1)

V = 35.940 Å³ per atom
DOS at the Fermi energy = 3.66 states/eV/f.u.
ΔH_f (0 K) = 1.8 eV/f.u.
Distance to the lowest polymorph of the same formula = 0.3498 eV per atom
Crystal system = tetragonal

***

3.
Density functional theory data (PBE-GGA) for a geometry-optimized SiS2N structure.

Unit cell a=3.4049 b=3.4049 c=19.5704 alpha=90.00 beta=90.00 gamma=120.00
Space group R-3m (No. 166, hexagonal axes)
Asymmetric unit:
Si 0.0000 0.0000 0.0000 (multiplicity 3)
S 0.0000 0.0000 0.4188 (multiplicity 6)
N 0.0000 0.0000 0.5000 (multiplicity 3)

V = 16.374 Å³ per atom
DOS at the Fermi energy = 2.32 states/eV/f.u.
Distance to the lowest polymorph of the same formula = 0.0000 eV per atom
Crystal system = trigonal

***

4.
Density functional theory data (PBE-GGA) for a geometry-optimized PuZnCdCu structure.

Unit cell a=6.813 b=6.813 c=6.813 alpha=90.00 beta=90.00 gamma=90.00
Space group F-43m (No. 216)
Asymmetric unit:
Pu 0.000 0.000 0.000 (multiplicity 4)
Zn 0.250 0.250 0.250 (multiplicity 4)
Cd 0.000 0.000 0.500 (multiplicity 4)
Cu 0.250 0.250 0.750 (multiplicity 4)

V = 19.762 Å³ per atom
DOS at the Fermi energy = 13.34 states/eV/f.u.
ΔH_f (0 K) = 0.1 eV/f.u.
Crystal system = cubic

***

5.
Density functional theory data (PBE-GGA) for a geometry-optimized TaNiPd3 structure.

Unit cell a=4.794 b=4.794 c=4.794 alpha=90.00 beta=90.00 gamma=90.00
Space group Pm-3m (No. 221)
Asymmetric unit:
Ta 0.000 0.000 0.000 (multiplicity 1)
Ni 0.500 0.500 0.500 (multiplicity 1)
Pd 0.000 0.000 0.500 (multiplicity 3)

V = 22.033 Å³ per atom
DOS at the Fermi energy = 5.97 states/eV/f.u.
ΔH_f (0 K) = 6.0 eV/f.u.
Distance to the lowest polymorph of the same formula = 1.1255 eV per atom
Crystal system = cubic

***

6.
Density functional theory data (PBE-GGA) for a geometry-optimized BaTa2Cu structure.

Unit cell a=4.154 b=4.154 c=10.141 alpha=90.00 beta=90.00 gamma=90.00
Space group I4/mmm (No. 139)
Asymmetric unit:
Ba 0.000 0.000 0.000 (multiplicity 2)
Ta 0.000 0.500 0.250 (multiplicity 4)
Cu 0.000 0.000 0.500 (multiplicity 2)

V = 21.878 Å³ per atom
DOS at the Fermi energy = 4.55 states/eV/f.u.
ΔH_f (0 K) = 4.6 eV/f.u.
Distance to the lowest polymorph of the same formula = 0.6426 eV per atom
Crystal system = tetragonal

***

Copy entry 4 word for word.
Density functional theory data (PBE-GGA) for a geometry-optimized PuZnCdCu structure.

Unit cell a=6.813 b=6.813 c=6.813 alpha=90.00 beta=90.00 gamma=90.00
Space group F-43m (No. 216)
Asymmetric unit:
Pu 0.000 0.000 0.000 (multiplicity 4)
Zn 0.250 0.250 0.250 (multiplicity 4)
Cd 0.000 0.000 0.500 (multiplicity 4)
Cu 0.250 0.250 0.750 (multiplicity 4)

V = 19.762 Å³ per atom
DOS at the Fermi energy = 13.34 states/eV/f.u.
ΔH_f (0 K) = 0.1 eV/f.u.
Crystal system = cubic